[1]
An optimized crystal structure of PmDy2Pa. Source: Alexandria, functional PBE.

extended XYZ file:
```
4
Lattice="-2.442 0.793 -2.258 -2.334 -1.504 1.996 -1.597 8.929 4.862" Properties=species:S:1:pos:R:3 pbc="T T T"
Dy -1.230 6.877 3.744
Dy -0.367 2.052 1.117
Pa -2.388 -0.356 -0.131
Pm -3.186 4.109 2.300
```

- DOS(E_F): 6.6 states/eV/f.u.
- E_form: 0.51 eV/f.u.
- Crystal system: tetragonal

---

[2]
An optimized crystal structure of Sr4RhAu2. Source: Alexandria, functional PBE.

extended XYZ file:
```
7
Lattice="-2.691 -4.185 -2.516 4.876 -2.146 -1.645 -0.712 -1.113 8.792" Properties=species:S:1:pos:R:3 pbc="T T T"
Sr 0.141 -1.589 2.492
Sr 1.332 -5.856 2.139
Sr -1.345 -2.093 -1.258
Sr 2.438 -1.073 -0.822
Rh 0.000 0.000 0.000
Au 0.291 -3.269 5.127
Au 1.183 -4.176 -0.496
```

- DOS(E_F): 3.0 states/eV/f.u.
- E_form: -2.67 eV/f.u.
- Crystal system: tetragonal

---

[3]
An optimized crystal structure of Ac2TmNpO8. Source: Alexandria, functional PBE.

extended XYZ file:
```
12
Lattice="4.109 -0.258 -0.002 -0.216 5.755 -0.006 0.004 0.009 7.677" Properties=species:S:1:pos:R:3 pbc="T T T"
O 3.870 1.014 5.991
O 3.868 1.010 1.680
O 0.030 4.495 5.989
O 2.211 4.437 7.671
O 0.028 4.490 1.678
O 2.073 4.248 3.833
O 1.687 1.067 -0.002
O 1.824 1.257 3.836
Np 0.000 0.000 0.000
Ac 1.950 2.755 5.724
Ac 1.948 2.750 1.945
Tm 0.002 0.004 3.839
```

- Raw formation energy: -3106 meV/atom
- Crystal system: monoclinic

---

[4]
An optimized crystal structure of Ce4Os3. Source: Alexandria, functional PBE.

extended XYZ file:
```
7
Lattice="4.257 0.000 0.000 0.000 7.161 -0.201 -2.129 -3.462 5.944" Properties=species:S:1:pos:R:3 pbc="T T T"
Os 2.129 3.639 2.836
Os 0.000 0.000 0.000
Os 0.000 0.061 2.908
Ce 0.000 -2.284 4.472
Ce 2.129 1.264 4.248
Ce 2.129 5.984 1.271
Ce 0.000 2.435 1.495
```

- DOS(E_F): 11.2 states/eV/f.u.
- E_form: -0.79 eV/f.u.
- Crystal system: monoclinic